# 1
# Ho2Mg2Sc3

An optimized crystal structure of Ho2Mg2Sc3 (GGA-PBE, the Alexandria database).

Output
Its energy relative to the elements is 0.065 eV/atom.

Unit cell a=8.071 b=8.071 c=8.071 alpha=38.12 beta=38.12 gamma=38.12
Sites, in units of the cell vectors:
Ho1 0.216 0.216 0.216
Ho2 0.784 0.784 0.784
Mg1 0.067 0.067 0.067
Mg2 0.933 0.933 0.933
Sc1 0.362 0.362 0.362
Sc2 0.500 0.500 0.500
Sc3 0.638 0.638 0.638

---

# 2
# Tm5InAg2

An optimized crystal structure of Tm5InAg2 (GGA-PBE, the Alexandria database).

Output
Its energy relative to the elements is -0.259 eV/atom.

Unit cell a=8.724 b=8.724 c=8.724 alpha=126.17 beta=126.17 gamma=79.61
Sites, in units of the cell vectors:
Tm1 0.000 0.000 0.000
Tm2 0.005 0.505 0.811
Tm3 0.194 0.005 0.500
Tm4 0.306 0.806 0.811
Tm5 0.495 0.306 0.500
Tm6 0.500 0.500 0.000
Tm7 0.505 0.694 0.500
Tm8 0.694 0.194 0.189
Tm9 0.806 0.995 0.500
Tm10 0.995 0.495 0.189
In1 0.250 0.250 0.000
In2 0.750 0.750 0.000
Ag1 0.134 0.366 0.500
Ag2 0.366 0.866 0.232
Ag3 0.634 0.134 0.768
Ag4 0.866 0.634 0.500